DFT (PBE) results for a relaxed CrTe2Mo crystal.

Cell and atoms, written as CIF:
```
data_CrTe2Mo
_chemical_formula_sum 'Cr3 Te6 Mo3'
_cell_length_a 3.2109
_cell_length_b 3.2109
_cell_length_c 30.3007
_cell_angle_alpha 90.00
_cell_angle_beta 90.00
_cell_angle_gamma 120.00
_symmetry_space_group_name_H-M 'R 3 m'
_symmetry_Int_Tables_number 160
_symmetry_space_group_name_Hall 'R 3 -2"'
loop_
_atom_site_label
_atom_site_fract_x
_atom_site_fract_y
_atom_site_fract_z
Cr1 0.0000 0.0000 0.0000
Te1 0.0000 0.0000 0.5389
Te2 0.0000 0.0000 0.7348
Mo1 0.0000 0.0000 0.2793
```

Energy ... -0.4704 Ry per atom
Energy relative to the elements, uncorrected ... 285 meV/atom
Density of states at the Fermi level ... 6.6 states/eV per cell

---

DFT (PBE) results for a relaxed Cr2TeMo crystal.

Cell and atoms, written as CIF:
```
data_Cr2TeMo
_chemical_formula_sum 'Cr2 Te1 Mo1'
_cell_length_a 3.0405
_cell_length_b 4.2460
_cell_length_c 5.0951
_cell_angle_alpha 90.00
_cell_angle_beta 91.15
_cell_angle_gamma 90.00
_symmetry_space_group_name_H-M 'P 1 2/m 1'
_symmetry_Int_Tables_number 10
_symmetry_space_group_name_Hall '-P 2y'
loop_
_atom_site_label
_atom_site_fract_x
_atom_site_fract_y
_atom_site_fract_z
Cr1 0.1053 0.0000 0.3104
Te1 0.0000 0.5000 0.0000
Mo1 0.5000 0.5000 0.5000
```

Energy ... -0.5724 Ry per atom
Energy relative to the elements, uncorrected ... 516 meV/atom
Density of states at the Fermi level ... 4.6 states/eV per cell

---

DFT (PBE) results for a relaxed Cr2TeMo crystal.

Cell and atoms, written as CIF:
```
data_Cr2TeMo
_chemical_formula_sum 'Cr2 Te1 Mo1'
_cell_length_a 3.2796
_cell_length_b 3.3057
_cell_length_c 6.0569
_cell_angle_alpha 90.00
_cell_angle_beta 90.00
_cell_angle_gamma 90.00
_symmetry_space_group_name_H-M 'P m m 2'
_symmetry_Int_Tables_number 25
_symmetry_space_group_name_Hall 'P 2 -2'
loop_
_atom_site_label
_atom_site_fract_x
_atom_site_fract_y
_atom_site_fract_z
Cr1 0.0000 0.0000 0.0000
Cr2 0.5000 0.5000 0.1939
Te1 0.0000 0.0000 0.4839
Mo1 0.5000 0.5000 0.7301
```

Energy ... -0.5812 Ry per atom
Energy relative to the elements, uncorrected ... 398 meV/atom
Density of states at the Fermi level ... 2.8 states/eV per cell

---

DFT (PBE) results for a relaxed CrTe2Mo crystal.

Cell and atoms, written as CIF:
```
data_CrTe2Mo
_chemical_formula_sum 'Cr4 Te8 Mo4'
_cell_length_a 6.7922
_cell_length_b 6.7922
_cell_length_c 6.7922
_cell_angle_alpha 90.00
_cell_angle_beta 90.00
_cell_angle_gamma 90.00
_symmetry_space_group_name_H-M 'F m -3 m'
_symmetry_Int_Tables_number 225
_symmetry_space_group_name_Hall '-F 4 2 3'
loop_
_atom_site_label
_atom_site_fract_x
_atom_site_fract_y
_atom_site_fract_z
Cr1 0.0000 0.0000 0.0000
Te1 0.2500 0.2500 0.2500
Mo1 0.0000 0.0000 0.5000
```

Energy ... -0.4640 Ry per atom
Energy relative to the elements, uncorrected ... 371 meV/atom
Density of states at the Fermi level ... 20.2 states/eV per cell

---

DFT (PBE) results for a relaxed Cr2TeMo crystal.

Cell and atoms, written as CIF:
```
data_Cr2TeMo
_chemical_formula_sum 'Cr6 Te3 Mo3'
_cell_length_a 3.1478
_cell_length_b 3.1478
_cell_length_c 23.9746
_cell_angle_alpha 90.00
_cell_angle_beta 90.00
_cell_angle_gamma 120.00
_symmetry_space_group_name_H-M 'R -3 m'
_symmetry_Int_Tables_number 166
_symmetry_space_group_name_Hall '-R 3 2"'
loop_
_atom_site_label
_atom_site_fract_x
_atom_site_fract_y
_atom_site_fract_z
Cr1 0.0000 0.0000 0.2425
Te1 0.0000 0.0000 0.0000
Mo1 0.0000 0.0000 0.5000
```

Energy ... -0.5693 Ry per atom
Energy relative to the elements, uncorrected ... 559 meV/atom
Density of states at the Fermi level ... 9.1 states/eV per cell

---

DFT (PBE) results for a relaxed CrTeMo2 crystal.

Cell and atoms, written as CIF:
```
data_CrTeMo2
_chemical_formula_sum 'Cr4 Te4 Mo8'
_cell_length_a 3.8014
_cell_length_b 3.8014
_cell_length_c 20.0863
_cell_angle_alpha 90.00
_cell_angle_beta 90.00
_cell_angle_gamma 90.00
_symmetry_space_group_name_H-M 'I -4 2 d'
_symmetry_Int_Tables_number 122
_symmetry_space_group_name_Hall 'I -4 2bw'
loop_
_atom_site_label
_atom_site_fract_x
_atom_site_fract_y
_atom_site_fract_z
Cr1 0.0000 0.0000 0.0000
Te1 0.0000 0.0000 0.5000
Mo1 0.2496 0.2500 0.1250
```

Energy ... -0.5812 Ry per atom
Energy relative to the elements, uncorrected ... 699 meV/atom
Density of states at the Fermi level ... 17.0 states/eV per cell

---

DFT (PBE) results for a relaxed CrTeMo2 crystal.

Cell and atoms, written as CIF:
```
data_CrTeMo2
_chemical_formula_sum 'Cr2 Te2 Mo4'
_cell_length_a 3.9472
_cell_length_b 3.9472
_cell_length_c 8.3803
_cell_angle_alpha 90.00
_cell_angle_beta 90.00
_cell_angle_gamma 90.00
_symmetry_space_group_name_H-M 'I -4 m 2'
_symmetry_Int_Tables_number 119
_symmetry_space_group_name_Hall 'I -4 -2'
loop_
_atom_site_label
_atom_site_fract_x
_atom_site_fract_y
_atom_site_fract_z
Cr1 0.0000 0.0000 0.0000
Te1 0.0000 0.5000 0.2500
Mo1 0.0000 0.0000 0.5000
Mo2 0.0000 0.5000 0.7500
```

Energy ... -0.5972 Ry per atom
Energy relative to the elements, uncorrected ... 481 meV/atom
Density of states at the Fermi level ... 8.9 states/eV per cell

---

DFT (PBE) results for a relaxed CrTe2Mo crystal.

Cell and atoms, written as CIF:
```
data_CrTe2Mo
_chemical_formula_sum 'Cr4 Te8 Mo4'
_cell_length_a 6.1941
_cell_length_b 6.1941
_cell_length_c 12.4698
_cell_angle_alpha 90.00
_cell_angle_beta 90.00
_cell_angle_gamma 90.00
_symmetry_space_group_name_H-M 'I -4 2 d'
_symmetry_Int_Tables_number 122
_symmetry_space_group_name_Hall 'I -4 2bw'
loop_
_atom_site_label
_atom_site_fract_x
_atom_site_fract_y
_atom_site_fract_z
Cr1 0.0000 0.0000 0.0000
Te1 0.2461 0.2500 0.6250
Mo1 0.0000 0.0000 0.5000
```

Energy ... -0.4525 Ry per atom
Energy relative to the elements, uncorrected ... 528 meV/atom
Density of states at the Fermi level ... 10.8 states/eV per cell

---

DFT (PBE) results for a relaxed CrTe2Mo crystal.

Cell and atoms, written as CIF:
```
data_CrTe2Mo
_chemical_formula_sum 'Cr1 Te2 Mo1'
_cell_length_a 3.3903
_cell_length_b 4.7469
_cell_length_c 4.7771
_cell_angle_alpha 90.00
_cell_angle_beta 90.00
_cell_angle_gamma 90.00
_symmetry_space_group_name_H-M 'P m m m'
_symmetry_Int_Tables_number 47
_symmetry_space_group_name_Hall '-P 2 2'
loop_
_atom_site_label
_atom_site_fract_x
_atom_site_fract_y
_atom_site_fract_z
Cr1 0.0000 0.0000 0.0000
Te1 0.5000 0.0000 0.5000
Te2 0.5000 0.5000 0.0000
Mo1 0.0000 0.5000 0.5000
```

Energy ... -0.4648 Ry per atom
Energy relative to the elements, uncorrected ... 360 meV/atom
Density of states at the Fermi level ... 4.6 states/eV per cell

---

DFT (PBE) results for a relaxed Cr2TeMo crystal.

Cell and atoms, written as CIF:
```
data_Cr2TeMo
_chemical_formula_sum 'Cr8 Te4 Mo4'
_cell_length_a 4.1232
_cell_length_b 4.1232
_cell_length_c 17.1680
_cell_angle_alpha 90.00
_cell_angle_beta 90.00
_cell_angle_gamma 90.00
_symmetry_space_group_name_H-M 'I -4 2 d'
_symmetry_Int_Tables_number 122
_symmetry_space_group_name_Hall 'I -4 2bw'
loop_
_atom_site_label
_atom_site_fract_x
_atom_site_fract_y
_atom_site_fract_z
Cr1 0.2403 0.2500 0.1250
Te1 0.0000 0.0000 0.5000
Mo1 0.0000 0.0000 0.0000
```

Energy ... -0.5469 Ry per atom
Energy relative to the elements, uncorrected ... 863 meV/atom
Density of states at the Fermi level ... 14.8 states/eV per cell

---

DFT (PBE) results for a relaxed Cr2TeMo crystal.

Cell and atoms, written as CIF:
```
data_Cr2TeMo
_chemical_formula_sum 'Cr4 Te2 Mo2'
_cell_length_a 4.0337
_cell_length_b 4.0337
_cell_length_c 7.6586
_cell_angle_alpha 90.00
_cell_angle_beta 90.00
_cell_angle_gamma 90.00
_symmetry_space_group_name_H-M 'I 4/m m m'
_symmetry_Int_Tables_number 139
_symmetry_space_group_name_Hall '-I 4 2'
loop_
_atom_site_label
_atom_site_fract_x
_atom_site_fract_y
_atom_site_fract_z
Cr1 0.0000 0.5000 0.2500
Te1 0.0000 0.0000 0.0000
Mo1 0.0000 0.0000 0.5000
```

Energy ... -0.5751 Ry per atom
Energy relative to the elements, uncorrected ... 480 meV/atom
Density of states at the Fermi level ... 9.1 states/eV per cell

---

DFT (PBE) results for a relaxed Cr2TeMo crystal.

Cell and atoms, written as CIF:
```
data_Cr2TeMo
_chemical_formula_sum 'Cr2 Te1 Mo1'
_cell_length_a 3.0898
_cell_length_b 3.8994
_cell_length_c 5.3737
_cell_angle_alpha 90.00
_cell_angle_beta 90.00
_cell_angle_gamma 90.00
_symmetry_space_group_name_H-M 'P m m m'
_symmetry_Int_Tables_number 47
_symmetry_space_group_name_Hall '-P 2 2'
loop_
_atom_site_label
_atom_site_fract_x
_atom_site_fract_y
_atom_site_fract_z
Cr1 0.0000 0.0000 0.1923
Te1 0.5000 0.5000 0.5000
Mo1 0.5000 0.5000 0.0000
```

Energy ... -0.5772 Ry per atom
Energy relative to the elements, uncorrected ... 452 meV/atom
Density of states at the Fermi level ... 3.8 states/eV per cell

---

Repeat the twelfth record exactly.
DFT (PBE) results for a relaxed Cr2TeMo crystal.

Cell and atoms, written as CIF:
```
data_Cr2TeMo
_chemical_formula_sum 'Cr2 Te1 Mo1'
_cell_length_a 3.0898
_cell_length_b 3.8994
_cell_length_c 5.3737
_cell_angle_alpha 90.00
_cell_angle_beta 90.00
_cell_angle_gamma 90.00
_symmetry_space_group_name_H-M 'P m m m'
_symmetry_Int_Tables_number 47
_symmetry_space_group_name_Hall '-P 2 2'
loop_
_atom_site_label
_atom_site_fract_x
_atom_site_fract_y
_atom_site_fract_z
Cr1 0.0000 0.0000 0.1923
Te1 0.5000 0.5000 0.5000
Mo1 0.5000 0.5000 0.0000
```

Energy ... -0.5772 Ry per atom
Energy relative to the elements, uncorrected ... 452 meV/atom
Density of states at the Fermi level ... 3.8 states/eV per cell

---

Copy entry 2 word for word.
DFT (PBE) results for a relaxed Cr2TeMo crystal.

Cell and atoms, written as CIF:
```
data_Cr2TeMo
_chemical_formula_sum 'Cr2 Te1 Mo1'
_cell_length_a 3.0405
_cell_length_b 4.2460
_cell_length_c 5.0951
_cell_angle_alpha 90.00
_cell_angle_beta 91.15
_cell_angle_gamma 90.00
_symmetry_space_group_name_H-M 'P 1 2/m 1'
_symmetry_Int_Tables_number 10
_symmetry_space_group_name_Hall '-P 2y'
loop_
_atom_site_label
_atom_site_fract_x
_atom_site_fract_y
_atom_site_fract_z
Cr1 0.1053 0.0000 0.3104
Te1 0.0000 0.5000 0.0000
Mo1 0.5000 0.5000 0.5000
```

Energy ... -0.5724 Ry per atom
Energy relative to the elements, uncorrected ... 516 meV/atom
Density of states at the Fermi level ... 4.6 states/eV per cell

---

Question: Which of these has the highest energy relative to the elements, uncorrected?
Answer: number 10

---

Question: Look up the energy relative to the elements, uncorrected of the first one.
Answer: 285 meV/atom